Record 1
Mg2ScW: PBEsol geometry, meta-GGA SCAN.

extended XYZ file:
```
4
Lattice="2.770 0.000 0.023 0.000 5.029 0.000 -0.697 0.000 5.397" Properties=species:S:1:pos:R:3 pbc="T T T"
Mg 0.485 0.000 1.434
Mg 1.588 0.000 3.986
Sc 1.385 2.514 0.011
W -0.349 2.514 2.699
```

Summary:
Electronic total energy, eV for the cell shown: -92.41
ΔE to the lowest computed polymorph, meV per atom: 0
ρ, Mg/m³: 6.12
Formation energy from the elements, meV per atom: 365
DOS(E_F), states/eV/atom: 0.846



Record 2
LaY7: PBEsol geometry, meta-GGA SCAN.

extended XYZ file:
```
8
Lattice="-0.654 6.313 -3.049 -2.767 0.523 -6.454 -6.382 2.843 -0.875" Properties=species:S:1:pos:R:3 pbc="T T T"
Y -4.574 1.683 -3.665
Y -1.710 3.418 -4.752
Y -3.191 1.421 -0.438
Y -3.518 4.578 -1.962
Y -1.383 0.261 -3.227
Y -4.902 4.839 -5.189
Y -0.327 3.157 -1.525
La 0.000 0.000 0.000
```

Summary:
Electronic total energy, eV for the cell shown: -237.61
ρ, Mg/m³: 5.12
Formation energy from the elements, meV per atom: 49
DOS(E_F), states/eV/atom: 1.437



Record 3
TbMgCo4: PBEsol geometry, meta-GGA SCAN.

extended XYZ file:
```
6
Lattice="4.888 0.000 0.000 2.444 4.233 0.000 2.444 1.411 3.991" Properties=species:S:1:pos:R:3 pbc="T T T"
Tb 0.000 0.000 0.000
Co 4.888 1.419 2.492
Co 3.673 3.524 2.492
Co 6.104 3.524 2.492
Co 4.888 2.822 0.507
Mg 2.444 1.411 0.998
```

Summary:
Electronic total energy, eV for the cell shown: -121.45
ρ, Mg/m³: 8.42
Formation energy from the elements, meV per atom: -83
DOS(E_F), states/eV/atom: 1.029



Record 4
NaPm2Sn: PBEsol geometry, meta-GGA SCAN.

extended XYZ file:
```
4
Lattice="5.367 0.000 0.000 2.683 4.648 0.000 2.683 1.549 4.382" Properties=species:S:1:pos:R:3 pbc="T T T"
Sn 5.367 3.098 2.191
Pm 8.050 4.648 3.286
Pm 2.683 1.549 1.095
Na 0.000 0.000 0.000
```

Summary:
Electronic total energy, eV for the cell shown: -129.72
ρ, Mg/m³: 6.56
Formation energy from the elements, meV per atom: -402
DOS(E_F), states/eV/atom: 0.655



Record 5
MoIrCl2: PBEsol geometry, meta-GGA SCAN.

extended XYZ file:
```
4
Lattice="-0.959 3.074 -0.827 -3.647 -0.619 1.931 1.631 1.464 3.551" Properties=species:S:1:pos:R:3 pbc="T T T"
Cl -1.824 -0.309 0.965
Cl 0.816 0.732 1.776
Mo -0.480 1.537 -0.413
Ir -1.488 1.959 2.328
```

Summary:
Electronic total energy, eV for the cell shown: -116.99
Formation energy without anion corrections, eV/atom: 1.238
ΔE to the lowest computed polymorph, meV per atom: 1532
ρ, Mg/m³: 10.30
DOS(E_F), states/eV/atom: 0.775



Record 6
ReAgOs2: PBEsol geometry, meta-GGA SCAN.

extended XYZ file:
```
4
Lattice="2.731 0.000 0.000 0.000 4.726 -0.001 -1.365 -0.814 4.537" Properties=species:S:1:pos:R:3 pbc="T T T"
Re 1.365 2.429 0.090
Os 0.000 3.123 2.296
Os 1.365 3.867 4.427
Ag 1.365 0.768 2.258
```

Summary:
Electronic total energy, eV for the cell shown: -244.09
ΔE to the lowest computed polymorph, meV per atom: 264
ρ, Mg/m³: 19.13
Formation energy from the elements, meV per atom: 534
DOS(E_F), states/eV/atom: 0.843



Record 7
LiCoNi6: PBEsol geometry, meta-GGA SCAN.

extended XYZ file:
```
32
Lattice="-0.838 -1.452 -5.752 -5.142 -0.679 3.000 -2.389 9.277 -1.994" Properties=species:S:1:pos:R:3 pbc="T T T"
Ni -6.048 6.411 -4.899
Ni -1.194 4.639 -0.997
Ni -5.859 6.066 -0.665
Ni -3.512 5.359 -0.826
Ni -3.693 5.677 -5.070
Ni -5.330 -0.338 -1.232
Ni -2.919 3.058 -0.331
Ni -6.531 4.283 -2.215
Ni -4.857 1.787 -3.920
Ni -4.261 -0.530 -3.407
Ni -2.990 -1.066 -1.376
Ni -2.509 1.080 -4.082
Ni -1.251 0.543 -2.022
Ni -5.938 1.982 -1.721
Ni -2.321 0.735 0.153
Ni -5.449 4.088 -4.415
Ni -2.430 5.164 -3.026
Ni -4.108 7.676 -1.339
Ni -4.184 3.573 -2.373
Ni -3.038 7.484 -3.514
Ni -7.118 6.603 -2.724
Ni -4.675 1.469 0.324
Ni 0.000 0.000 0.000
Ni -1.838 2.863 -2.531
Co -5.246 3.764 -0.213
Co -1.802 6.999 -1.505
Co -0.587 2.278 -0.490
Co -3.122 3.382 -4.533
Li -3.585 1.245 -1.873
Li -4.068 -0.872 0.817
Li -4.784 5.901 -2.874
Li -1.912 -1.259 -3.569
```

Summary:
Electronic total energy, eV for the cell shown: -466.70
ρ, Mg/m³: 8.38
Formation energy from the elements, meV per atom: 7
DOS(E_F), states/eV/atom: 0.597



Record 8
TaTiAlO6: PBEsol geometry, meta-GGA SCAN.

extended XYZ file:
```
18
Lattice="4.579 0.000 0.000 0.000 4.579 0.000 0.000 0.000 8.859" Properties=species:S:1:pos:R:3 pbc="T T T"
O 0.897 3.682 4.474
O 1.411 1.411 2.921
O 3.210 3.210 5.899
O 3.168 3.168 2.921
O 0.878 3.700 7.350
O 1.369 1.369 5.899
O 0.920 3.658 1.469
O 3.700 0.878 7.350
O 3.658 0.920 1.469
O 1.393 1.393 0.045
O 3.682 0.897 4.474
O 3.186 3.186 0.045
Ti 2.289 2.289 4.414
Ti 0.000 0.000 8.844
Ta 2.289 2.289 7.383
Ta 0.000 0.000 2.953
Al 0.000 0.000 5.911
Al 2.289 2.289 1.481
```

Summary:
Electronic total energy, eV for the cell shown: -313.48
Formation energy without anion corrections, eV/atom: -3.221
ρ, Mg/m³: 6.29
DOS(E_F), states/eV/atom: 0.000



Record 9
Ca2MoIr: PBEsol geometry, meta-GGA SCAN.

extended XYZ file:
```
4
Lattice="-2.478 2.187 0.944 -2.426 -3.451 1.624 4.617 1.183 3.121" Properties=species:S:1:pos:R:3 pbc="T T T"
Ca 0.982 0.250 1.999
Ca -1.270 -0.331 3.690
Ir -1.239 1.093 0.472
Mo -1.213 -1.725 0.812
```

Summary:
Electronic total energy, eV for the cell shown: -123.32
ρ, Mg/m³: 7.97
Formation energy from the elements, meV per atom: 498
DOS(E_F), states/eV/atom: 0.865



Record 10
Si2HgBr: PBEsol geometry, meta-GGA SCAN.

extended XYZ file:
```
4
Lattice="-2.596 -1.209 1.921 2.229 -3.076 1.077 2.114 3.248 4.902" Properties=species:S:1:pos:R:3 pbc="T T T"
Br -0.184 -2.142 1.499
Si 0.637 0.978 1.476
Si 1.478 2.270 3.426
Hg 0.873 -0.518 3.950
```

Summary:
Electronic total energy, eV for the cell shown: -104.65
Formation energy without anion corrections, eV/atom: 0.751
ΔE to the lowest computed polymorph, meV per atom: 589
ρ, Mg/m³: 6.57
DOS(E_F), states/eV/atom: 0.649



Record 11
KNaAl6Si6H4O24: PBEsol geometry, meta-GGA SCAN.

extended XYZ file:
```
84
Lattice="-0.603 1.004 -5.027 -1.485 -8.702 -1.559 -19.219 2.448 4.645" Properties=species:S:1:pos:R:3 pbc="T T T"
O -13.498 1.257 -0.832
O -12.566 -5.899 -3.717
O -18.583 2.350 1.589
O -14.162 -3.683 -2.006
O -11.485 -1.984 -0.407
O -13.104 0.162 1.521
O -3.673 0.067 -1.361
O -16.908 1.118 -0.189
O -17.348 -3.815 1.765
O -9.389 -0.456 -1.437
O -9.737 -5.335 0.357
O -8.204 -5.413 -3.462
O -4.682 -3.854 -4.627
O -2.068 -4.339 -2.933
O -16.626 -1.396 2.685
O -11.022 1.314 0.170
O -18.992 -2.437 3.366
O -7.810 -6.507 -1.109
O -1.640 0.589 -4.658
O -4.988 -6.415 -4.310
O -19.739 -3.569 0.108
O -7.146 -1.568 0.065
O -17.635 -5.318 -0.580
O -1.569 -1.681 -2.050
O -7.294 -4.250 0.070
O -10.286 -6.565 -2.112
O -12.073 -2.452 -3.139
O -9.235 -2.799 1.198
O -7.324 -1.933 -2.760
O -18.602 0.252 3.462
O -16.320 1.165 2.369
O -14.509 -5.897 -0.327
O -8.742 0.649 1.776
O -19.240 -0.911 0.991
O -2.706 -5.503 -5.403
O -11.571 0.085 -2.299
O -11.919 -4.794 -0.504
O -2.316 -2.814 -5.308
O -4.400 -6.368 -1.753
O -17.236 -2.481 -0.755
O -9.823 -3.267 -1.534
O -4.072 -2.769 -1.187
O -19.668 -5.840 2.717
O -14.014 -1.000 -2.012
O -6.799 0.646 -1.615
O -13.984 -3.318 0.818
O -2.725 -7.601 -3.531
O -3.960 -1.435 -3.707
Si -16.997 0.053 3.355
Si -7.615 -2.857 0.913
Si -13.158 0.388 -2.174
Si -8.695 -6.660 -2.498
Si -4.282 -7.304 -3.109
Si -3.883 -2.441 -4.966
Si -12.613 1.410 0.556
Si -17.425 -2.809 3.025
Si -4.311 -5.303 -5.297
Si -13.693 -2.393 -2.854
Si -17.026 2.054 1.167
Si -8.150 -5.639 0.232
Al -20.529 -1.887 -0.026
Al -10.669 -1.645 -2.085
Al -10.172 1.230 -1.594
Al -18.008 -3.767 0.155
Al -3.300 -1.483 -2.096
Al -7.692 -0.854 -1.426
Al -21.012 -4.756 -0.563
Al -13.616 -4.397 -0.515
Al -11.136 -6.480 -0.348
Al -0.296 -0.494 -1.378
Al -10.639 -3.606 0.144
Al -0.779 -3.363 -1.916
H -19.183 -5.064 2.372
H -12.794 -5.173 -3.104
H -2.125 -0.186 -4.314
H -2.294 -5.222 -2.579
H -19.014 -0.029 0.638
H -11.434 -1.250 0.236
H -9.874 -4.000 -2.177
H -8.514 -0.077 1.163
K -4.953 -0.258 1.005
K -15.751 -5.997 2.080
Na -15.363 -1.451 0.291
Na -5.945 -3.800 -2.233
```

Summary:
Electronic total energy, eV for the cell shown: -804.95
ρ, Mg/m³: 2.82
DOS(E_F), states/eV/atom: 0.000



Record 12
Li7Mn4O12: PBEsol geometry, meta-GGA SCAN.

extended XYZ file:
```
23
Lattice="4.881 -0.012 -0.009 -2.417 4.240 -0.015 -0.763 -1.297 9.350" Properties=species:S:1:pos:R:3 pbc="T T T"
O -1.473 1.666 8.067
O 0.957 2.834 1.264
O -0.579 0.069 5.944
O 3.216 1.317 1.248
O 0.768 0.112 1.277
O 2.516 0.119 3.395
O 1.581 1.642 5.933
O -0.855 2.723 5.920
O 0.083 1.336 3.375
O 0.972 2.735 8.044
O 0.669 0.080 8.057
O 2.358 2.843 3.364
Li -0.783 2.844 2.318
Li -0.852 0.121 9.305
Li 3.267 1.408 4.691
Li 1.755 1.434 9.295
Li 1.704 -1.268 9.300
Li 0.941 0.030 4.696
Li 0.798 2.947 4.685
Mn 4.092 0.004 2.322
Mn 0.059 1.482 6.994
Mn -2.386 2.907 6.992
Mn 1.640 1.432 2.320
```

Summary:
Electronic total energy, eV for the cell shown: -215.73
Formation energy without anion corrections, eV/atom: -2.226
ρ, Mg/m³: 3.96
DOS(E_F), states/eV/atom: 0.312



> The highest electronic total energy belongs to which entry?

Mg2ScW



> Which value of ρ does entry 5 give?

10.30 Mg/m³



Copy entry 2 word for word.
LaY7: PBEsol geometry, meta-GGA SCAN.

extended XYZ file:
```
8
Lattice="-0.654 6.313 -3.049 -2.767 0.523 -6.454 -6.382 2.843 -0.875" Properties=species:S:1:pos:R:3 pbc="T T T"
Y -4.574 1.683 -3.665
Y -1.710 3.418 -4.752
Y -3.191 1.421 -0.438
Y -3.518 4.578 -1.962
Y -1.383 0.261 -3.227
Y -4.902 4.839 -5.189
Y -0.327 3.157 -1.525
La 0.000 0.000 0.000
```

Summary:
Electronic total energy, eV for the cell shown: -237.61
ρ, Mg/m³: 5.12
Formation energy from the elements, meV per atom: 49
DOS(E_F), states/eV/atom: 1.437